i:
The following is a PBEsol calculation of a relaxed structure of SrRe, from Alexandria via LeMat-Bulk.

```
4
Lattice="3.245 0.000 0.000 0.000 3.688 0.000 -1.623 0.000 9.195" Properties=species:S:1:pos:R:3 pbc="T T T"
Re 1.623 2.766 4.905
Re 0.000 0.922 4.290
Sr 1.623 2.766 1.823
Sr 0.000 0.922 7.371
```

Calculated values
Symmetry: Cmcm

ii:
The following is a PBEsol calculation of a relaxed structure of SrRe, from Alexandria via LeMat-Bulk.

```
2
Lattice="-1.978 1.928 3.378 -4.295 0.757 -0.129 -2.697 -2.295 2.548" Properties=species:S:1:pos:R:3 pbc="T T T"
Re 0.000 0.000 0.000
Sr -4.485 0.195 2.899
```

Calculated values
Symmetry: Fm-3m

Stability check: which of them is most stable? i.

i:
The following is a PBEsol calculation of a relaxed structure of SrReTc2, from Alexandria via LeMat-Bulk.

```
4
Lattice="3.001 0.000 0.000 -1.500 4.619 0.011 0.000 -1.395 5.682" Properties=species:S:1:pos:R:3 pbc="T T T"
Re 0.000 -0.697 2.841
Sr 1.500 0.000 0.000
Tc 1.500 1.085 3.722
Tc 0.000 2.139 1.971
```

Calculated values
Symmetry: C2/m

ii:
The following is a PBEsol calculation of a relaxed structure of SrReTc2, from Alexandria via LeMat-Bulk.

```
4
Lattice="2.851 0.000 0.014 0.000 4.062 0.000 -1.379 0.000 6.555" Properties=species:S:1:pos:R:3 pbc="T T T"
Re 1.426 2.031 0.007
Sr 0.736 2.031 3.284
Tc -0.873 0.000 5.415
Tc 2.345 0.000 1.154
```

Calculated values
Symmetry: P2/m

Stability check: which of them is most stable? i.